Computed, not measured: a relaxed structure of CrCoTeO6 at the PBE with a Hubbard U level of DFT.

a = 5.1082 Å, b = 5.1082 Å, c = 8.8413 Å
α = 90.00°, β = 90.00°, γ = 120.00°
Each line ends with the local moment (μB).
Atoms (fractional coordinates):
O (0.0033, 0.6527, 0.8689)  0.14
O (0.6527, 0.6494, 0.1311)  0.14
O (0.0033, 0.3506, 0.6311)  0.14
O (0.6527, 0.0033, 0.3689)  0.14
O (0.6494, 0.9967, 0.8689)  0.14
O (0.3506, 0.0033, 0.1311)  0.14
O (0.6494, 0.6527, 0.6311)  0.14
O (0.3473, 0.9967, 0.6311)  0.14
O (0.3473, 0.3506, 0.8689)  0.14
O (0.9967, 0.6494, 0.3689)  0.14
O (0.3506, 0.3473, 0.3689)  0.14
O (0.9967, 0.3473, 0.1311)  0.14
Cr (0.3333, 0.6667, 0.2500)  -2.68
Cr (0.6667, 0.3333, 0.7500)  -2.68
Te (0.3333, 0.6667, 0.7500)  -0.02
Te (0.6667, 0.3333, 0.2500)  -0.02
Co (0.0000, 0.0000, 0.5000)  2.83
Co (0.0000, 0.0000, 0.0000)  2.83

E_tot, eV per atom: -6.23
Space group: No. 163
Density, Mg/m³: 5.561